The following is a PBE-GGA calculation of LiZn8Au6 after structural relaxation, from the Alexandria database.

The structure belongs to space group R-3 (No. 148, hexagonal axes); the cell edges are 7.6113, 7.6113 and 16.0428 Å and the angles 90.00°, 90.00° and 120.00°. The inequivalent atoms are Li at (0.0000, 0.0000, 0.0000), Zn at (0.0000, 0.0000, 0.3330), Zn at (0.0000, 0.3233, 0.1185) and Au at (0.0003, 0.3322, 0.6126).

For the final energy, the calculation gives -105.628 eV per cell. The value obtained for the energy relative to the elements is -229 meV/atom.